1.
A plane-wave DFT calculation with GGA-PBE was carried out for an optimized crystal structure of NdHo2Tm3Bi6.

Lattice parameters (Å, degrees): 4.4729 8.9447 9.9964 102.85 102.93 90.00
Sites, in units of the cell vectors:
Ho1 0.8327 0.6664 0.6653
Bi1 0.3299 0.9164 0.6598
Tm1 0.8348 0.1677 0.6695
Bi2 0.0003 0.2585 0.0007
Bi3 0.9997 0.7415 0.9993
Bi4 0.3339 0.4158 0.6678
Tm2 0.1652 0.8323 0.3305
Nd1 0.5000 0.0000 0.0000
Bi5 0.6661 0.5842 0.3322
Bi6 0.6701 0.0836 0.3402
Tm3 0.5000 0.5000 0.0000
Ho2 0.1673 0.3336 0.3347

Results
The calculation puts the electronic total energy at -5.043 eV per atom. Its formation energy from the elements is -824 meV per atom.

---

2.
A plane-wave DFT calculation with GGA-PBE was carried out for an optimized crystal structure of TlGaSb2I.

Lattice parameters (Å, degrees): 5.3341 5.3341 6.2584 90.00 90.00 90.00
Sites, in units of the cell vectors:
Tl1 0.5000 0.5000 0.5000
I1 0.0000 0.0000 0.5000
Sb1 0.0000 0.5000 0.0000
Sb2 0.5000 0.0000 0.0000
Ga1 0.0000 0.0000 0.0000

Results
The polymorph energy (0 for the lowest one) is 0 meV/atom. The calculation puts the electronic total energy at -2.798 eV per atom. The formation energy (no corrections) is 0.24 eV per atom.

---

3.
A plane-wave DFT calculation with GGA-PBE was carried out for an optimized crystal structure of CaZrS2Cl.

Lattice parameters (Å, degrees): 5.0324 5.0324 4.9206 90.00 90.00 90.00
Sites, in units of the cell vectors:
Zr1 0.0000 0.0000 0.0000
Cl1 0.0000 0.0000 0.5000
S1 0.5000 0.0000 0.0000
S2 0.0000 0.5000 0.0000
Ca1 0.5000 0.5000 0.5000

Results
The polymorph energy (0 for the lowest one) is 0 meV/atom. The calculation puts the electronic total energy at -5.553 eV per atom. The formation energy (no corrections) is -1.42 eV per atom.

---

4.
A plane-wave DFT calculation with GGA-PBE was carried out for an optimized crystal structure of KBaBiPb.

Lattice parameters (Å, degrees): 6.0337 6.0337 6.0337 60.00 60.00 60.00
Sites, in units of the cell vectors:
Ba1 0.0000 0.0000 0.0000
Bi1 0.7500 0.7500 0.7500
Pb1 0.2500 0.2500 0.2500
K1 0.5000 0.5000 0.5000

Results
The calculation puts the electronic total energy at -3.006 eV per atom. Its formation energy from the elements is -353 meV per atom.

---

5.
A plane-wave DFT calculation with GGA-PBE was carried out for an optimized crystal structure of ZrGaCu2H.

Lattice parameters (Å, degrees): 3.9569 3.9569 4.1771 90.00 90.00 90.00
Sites, in units of the cell vectors:
Ga1 0.5000 0.5000 0.5000
H1 0.0000 0.0000 0.0000
Cu1 0.0000 0.5000 0.0000
Zr1 0.0000 0.0000 0.5000
Cu2 0.5000 0.0000 0.0000

Results
The calculation puts the electronic total energy at -4.806 eV per atom.

---

6.
A plane-wave DFT calculation with GGA-PBE was carried out for an optimized crystal structure of LiCaSb2Cl.

Lattice parameters (Å, degrees): 4.7335 6.3003 4.7335 90.00 90.00 90.00
Sites, in units of the cell vectors:
Sb1 0.0000 0.0000 0.5000
Cl1 0.5000 0.5000 0.5000
Ca1 0.0000 0.5000 0.0000
Li1 0.0000 0.0000 0.0000
Sb2 0.5000 0.0000 0.0000

Results
The calculation puts the electronic total energy at -3.197 eV per atom. The formation energy (no corrections) is -0.40 eV per atom.

---

7.
A plane-wave DFT calculation with GGA-PBE was carried out for an optimized crystal structure of ZrPaAs2.

Lattice parameters (Å, degrees): 4.0292 4.0292 6.7636 72.67 72.67 60.00
Sites, in units of the cell vectors:
As1 0.2545 0.2545 0.2365
Pa1 0.5000 0.5000 0.5000
As2 0.7455 0.7455 0.7635
Zr1 0.0000 0.0000 0.0000

Results
The polymorph energy (0 for the lowest one) is 0 meV/atom. The calculation puts the electronic total energy at -7.940 eV per atom. Its formation energy from the elements is -1104 meV per atom.

---

8.
A plane-wave DFT calculation with GGA-PBE was carried out for an optimized crystal structure of Cs2InW2.

Lattice parameters (Å, degrees): 11.1244 11.1244 3.2042 90.00 90.00 90.00
Last column: magnetic moment on the atom in μB.
Sites, in units of the cell vectors:
In1 0.0000 0.0000 0.0000  0.00
Cs1 0.7130 0.7870 0.5000  0.01
W1 0.5691 0.0691 0.0000  0.21
Cs2 0.2870 0.2130 0.5000  0.01
Cs3 0.7870 0.2870 0.5000  0.01
W2 0.4309 0.9309 0.0000  0.21
In2 0.5000 0.5000 0.0000  0.00
W3 0.9309 0.5691 0.0000  0.21
Cs4 0.2130 0.7130 0.5000  0.01
W4 0.0691 0.4309 0.0000  0.21

Results
The polymorph energy (0 for the lowest one) is 0 meV/atom. The calculation puts the electronic total energy at -4.415 eV per atom. Its formation energy from the elements is 1656 meV per atom.